# 1
## SmTmOsPd (GGA-PBE)

Data for a geometry-optimized SmTmOsPd structure.

The space group is F-43m (No. 216) and the conventional cell measures 6.925, 6.925 and 6.925 Å, with angles of 90.00, 90.00 and 90.00 degrees. The asymmetric unit holds Sm at (0.000, 0.000, 0.000), Tm at (0.000, 0.000, 0.500), Os at (0.250, 0.250, 0.750) and Pd at (0.250, 0.250, 0.250).

The calculation puts the uncorrected energy at -6.90 eV per atom.


# 2
## HfZr2BiB (GGA-PBE)

Data for a geometry-optimized HfZr2BiB structure.

The space group is P4/mmm (No. 123) and the conventional cell measures 4.715, 4.715 and 4.616 Å, with angles of 90.00, 90.00 and 90.00 degrees. The asymmetric unit holds Hf at (0.000, 0.000, 0.000), Zr at (0.000, 0.500, 0.500), Bi at (0.500, 0.500, 0.000) and B at (0.000, 0.000, 0.500).

The calculation puts the uncorrected energy at -7.80 eV per atom.


# 3
## Ba2PdI6 (GGA-PBE)

Data for a geometry-optimized Ba2PdI6 structure.

The space group is P2_1/c (No. 14) and the conventional cell measures 7.194, 9.729 and 12.990 Å, with angles of 90.00, 123.55 and 90.00 degrees. The asymmetric unit holds Ba at (0.171, 0.126, 0.239), Pd at (0.000, 0.000, 0.500), I at (0.138, 0.155, 0.951), I at (0.267, 0.643, 0.956) and I at (0.333, 0.014, 0.736).

The excess energy over the best structure of this formula in the dataset comes out at 0.0 meV/atom. Its formation energy (no corrections) is -1.239 eV/atom.


# 4
## Pd2RhPb6 (GGA-PBE)

Data for a geometry-optimized Pd2RhPb6 structure.

The space group is P2_1/c (No. 14) and the conventional cell measures 6.930, 7.165 and 10.884 Å, with angles of 90.00, 123.79 and 90.00 degrees. The asymmetric unit holds Pd at (0.205, 0.154, 0.236), Rh at (0.000, 0.000, 0.500), Pb at (0.089, 0.162, 0.926), Pb at (0.301, 0.670, 0.940) and Pb at (0.417, 0.507, 0.273).

The calculation puts the uncorrected energy at -4.54 eV per atom.


# 5
## UHgS2 (GGA-PBE)

Data for a geometry-optimized UHgS2 structure.

The space group is R-3m (No. 166, hexagonal axes) and the conventional cell measures 3.8188, 3.8188 and 24.8628 Å, with angles of 90.00, 90.00 and 120.00 degrees. The asymmetric unit holds U at (0.0000, 0.0000, 0.0000), Hg at (0.0000, 0.0000, 0.5000) and S at (0.0000, 0.0000, 0.1011).

The excess energy over the best structure of this formula in the dataset comes out at 1086.2 meV/atom. Its formation energy (no corrections) is 0.092 eV/atom.


# 6
## Sr2CuO2F2 (GGA-PBE)

Data for a geometry-optimized Sr2CuO2F2 structure.

The space group is Imm2 (No. 44) and the conventional cell measures 3.786, 4.504 and 12.809 Å, with angles of 90.00, 90.00 and 90.00 degrees. The asymmetric unit holds Sr at (0.000, 0.000, 0.000), Sr at (0.000, 0.000, 0.305), Cu at (0.000, 0.000, 0.648), O at (0.000, 0.500, 0.153), O at (0.000, 0.500, 0.916), F at (0.000, 0.500, 0.384) and F at (0.000, 0.500, 0.643).

The excess energy over the best structure of this formula in the dataset comes out at 260.2 meV/atom. Its formation energy (no corrections) is -2.397 eV/atom.


# 7
## ReSb2As (GGA-PBE)

Data for a geometry-optimized ReSb2As structure.

The space group is Imm2 (No. 44) and the conventional cell measures 3.222, 4.522 and 12.309 Å, with angles of 90.00, 90.00 and 90.00 degrees. The asymmetric unit holds Re at (0.000, 0.000, 0.000), Sb at (0.000, 0.000, 0.530), Sb at (0.000, 0.500, 0.706) and As at (0.000, 0.500, 0.341).

Its formation energy (no corrections) is 0.430 eV/atom.


# 8
## Zn2Ni2Mo (GGA-PBE)

Data for a geometry-optimized Zn2Ni2Mo structure.

The space group is P4/mbm (No. 127) and the conventional cell measures 7.035, 7.035 and 2.625 Å, with angles of 90.00, 90.00 and 90.00 degrees. The asymmetric unit holds Zn at (0.125, 0.375, 0.000), Ni at (0.175, 0.675, 0.500) and Mo at (0.000, 0.000, 0.000).

The excess energy over the best structure of this formula in the dataset comes out at 0.0 meV/atom.


# 9
## Sc2BP (GGA-PBE)

Data for a geometry-optimized Sc2BP structure.

The space group is R-3m (No. 166, hexagonal axes) and the conventional cell measures 3.4725, 3.4725 and 23.4242 Å, with angles of 90.00, 90.00 and 120.00 degrees. The asymmetric unit holds Sc at (0.0000, 0.0000, 0.1113), B at (0.0000, 0.0000, 0.5000) and P at (0.0000, 0.0000, 0.0000).

The excess energy over the best structure of this formula in the dataset comes out at 355.1 meV/atom.


# 10
## Dy8YTl2 (GGA-PBE)

Data for a geometry-optimized Dy8YTl2 structure.

The space group is C2/m (No. 12) and the conventional cell measures 8.882, 15.206 and 5.596 Å, with angles of 90.00, 113.91 and 90.00 degrees. The asymmetric unit holds Dy at (0.000, 0.217, 0.000), Dy at (0.097, 0.500, 0.797), Dy at (0.209, 0.114, 0.618), Y at (0.000, 0.000, 0.000) and Tl at (0.000, 0.306, 0.500).

The calculation puts the uncorrected energy at -4.37 eV per atom.


# 11
## AcCdBiPb (GGA-PBE)

Data for a geometry-optimized AcCdBiPb structure.

The space group is Pmmm (No. 47) and the conventional cell measures 4.840, 5.017 and 5.185 Å, with angles of 90.00, 90.00 and 90.00 degrees. The asymmetric unit holds Ac at (0.000, 0.000, 0.000), Cd at (0.000, 0.500, 0.500), Bi at (0.500, 0.500, 0.000) and Pb at (0.500, 0.000, 0.500).

The excess energy over the best structure of this formula in the dataset comes out at 0.0 meV/atom.


# 12
## Ca3MgCd2 (GGA-PBE)

Data for a geometry-optimized Ca3MgCd2 structure.

The space group is P4/mmm (No. 123) and the conventional cell measures 3.894, 3.894 and 11.519 Å, with angles of 90.00, 90.00 and 90.00 degrees. The asymmetric unit holds Ca at (0.000, 0.000, 0.000), Ca at (0.000, 0.000, 0.324), Mg at (0.500, 0.500, 0.500) and Cd at (0.500, 0.500, 0.165).

The excess energy over the best structure of this formula in the dataset comes out at 3.7 meV/atom.


# 13
## PuV4Sn (GGA-PBE)

Data for a geometry-optimized PuV4Sn structure.

The space group is F-43m (No. 216) and the conventional cell measures 7.414, 7.414 and 7.414 Å, with angles of 90.00, 90.00 and 90.00 degrees. The asymmetric unit holds Pu at (0.000, 0.000, 0.000), V at (0.128, 0.128, 0.372) and Sn at (0.250, 0.250, 0.750).

The calculation puts the uncorrected energy at -8.93 eV per atom.


# 14
## AcLaAgPd (GGA-PBE)

Data for a geometry-optimized AcLaAgPd structure.

The space group is Amm2 (No. 38) and the conventional cell measures 4.893, 4.114 and 11.461 Å, with angles of 90.00, 90.00 and 90.00 degrees. The asymmetric unit holds Ac at (0.000, 0.000, 0.000), La at (0.500, 0.000, 0.724), Ag at (0.500, 0.000, 0.437) and Pd at (0.000, 0.000, 0.276).

The excess energy over the best structure of this formula in the dataset comes out at 0.0 meV/atom.


# 15
## Sm4Tl3Pd (GGA-PBE)

Data for a geometry-optimized Sm4Tl3Pd structure.

The space group is Pmm2 (No. 25) and the conventional cell measures 3.938, 4.896 and 11.821 Å, with angles of 90.00, 90.00 and 90.00 degrees. The asymmetric unit holds Sm at (0.000, 0.000, 0.000), Sm at (0.000, 0.500, 0.260), Sm at (0.500, 0.000, 0.454), Sm at (0.500, 0.500, 0.770), Tl at (0.000, 0.000, 0.709), Tl at (0.000, 0.500, 0.533), Tl at (0.500, 0.500, 0.039) and Pd at (0.500, 0.000, 0.201).

The excess energy over the best structure of this formula in the dataset comes out at 47.8 meV/atom.


# 16
## Cd2FeOs (GGA-PBE)

Data for a geometry-optimized Cd2FeOs structure.

The space group is P4/mmm (No. 123) and the conventional cell measures 3.938, 3.938 and 4.280 Å, with angles of 90.00, 90.00 and 90.00 degrees. The asymmetric unit holds Cd at (0.000, 0.500, 0.000), Fe at (0.000, 0.000, 0.500) and Os at (0.500, 0.500, 0.500).

The excess energy over the best structure of this formula in the dataset comes out at 296.3 meV/atom.


# 17
## Na3Bi2Pb4 (GGA-PBE)

Data for a geometry-optimized Na3Bi2Pb4 structure.

The space group is C2/c (No. 15) and the conventional cell measures 16.718, 9.459 and 7.323 Å, with angles of 90.00, 90.41 and 90.00 degrees. The asymmetric unit holds Na at (0.000, 0.000, 0.250), Na at (0.167, 0.496, 0.252), Bi at (0.165, 0.169, 0.538), Pb at (0.000, 0.333, 0.030) and Pb at (0.166, 0.168, 0.978).

The excess energy over the best structure of this formula in the dataset comes out at 0.0 meV/atom.


# 18
## DyTh2Pa (GGA-PBE)

Data for a geometry-optimized DyTh2Pa structure.

The space group is P4/mmm (No. 123) and the conventional cell measures 4.995, 4.995 and 4.795 Å, with angles of 90.00, 90.00 and 90.00 degrees. The asymmetric unit holds Dy at (0.000, 0.000, 0.000), Th at (0.000, 0.500, 0.500) and Pa at (0.500, 0.500, 0.000).

The excess energy over the best structure of this formula in the dataset comes out at 84.1 meV/atom.


# 19
## SiHgSb2 (GGA-PBE)

Data for a geometry-optimized SiHgSb2 structure.

The space group is Immm (No. 71) and the conventional cell measures 3.829, 4.457 and 11.620 Å, with angles of 90.00, 90.00 and 90.00 degrees. The asymmetric unit holds Si at (0.000, 0.000, 0.000), Hg at (0.000, 0.000, 0.500) and Sb at (0.000, 0.500, 0.310).

Its formation energy (no corrections) is 0.337 eV/atom.


# 20
## Ac14LaSm (GGA-PBE)

Data for a geometry-optimized Ac14LaSm structure.

The space group is Amm2 (No. 38) and the conventional cell measures 11.269, 11.184 and 11.184 Å, with angles of 90.00, 90.00 and 90.00 degrees. The asymmetric unit holds Ac at (0.000, 0.000, 0.000), Ac at (0.000, 0.000, 0.500), Ac at (0.000, 0.249, 0.250), Ac at (0.254, 0.000, 0.751), Ac at (0.255, 0.250, 0.000), Ac at (0.256, 0.000, 0.249), Ac at (0.500, 0.249, 0.750), La at (0.500, 0.000, 0.500) and Sm at (0.500, 0.000, 0.000).

The calculation puts the uncorrected energy at -4.18 eV per atom.